# 1
GaCoAsO | OQMD via LeMat-Bulk | PBE with a Hubbard U | relaxed; E above lowest polymorph = 0.206 eV per atom; space-group type = P4/nmm (129); total magnetic moment = 3.5 μB per cell
1.0
-0.158 -1.888 3.103
2.399 -2.387 -1.330
6.496 4.738 3.213
As Co Ga O
2 2 2 2
Cartesian
3.256 0.307 0.353
4.360 2.294 3.747
3.248 2.369 1.606
4.368 0.232 2.493
0.604 -0.446 1.890
7.012 3.046 2.210
0.000 0.000 0.000
1.120 -2.137 0.887



# 2
GaCoAsO | OQMD via LeMat-Bulk | PBE with a Hubbard U | relaxed; E above lowest polymorph = 0.000 eV per atom; space-group type = Pmc2_1 (26); total magnetic moment = 6.0 μB per cell
1.0
-0.051 0.695 3.786
-5.618 -2.331 0.352
2.199 -5.154 0.976
As Co Ga O
2 2 2 2
Cartesian
-3.805 -3.889 0.663
0.961 -4.945 0.921
-0.268 -2.865 0.522
-2.254 -6.722 1.204
-1.938 -0.673 2.054
-2.468 -3.926 2.644
-1.190 -2.451 2.391
-1.701 -5.697 2.980



# 3
GaCoAsO | OQMD via LeMat-Bulk | PBE with a Hubbard U | relaxed; E above lowest polymorph = 0.007 eV per atom; space-group type = Pmc2_1 (26); total magnetic moment = 4.6 μB per cell
1.0
-0.560 -1.457 -2.833
-1.122 -5.482 3.041
-6.028 1.475 0.434
As Co Ga O
2 2 2 2
Cartesian
-3.093 -3.927 2.631
-5.403 0.249 0.940
-1.016 -2.784 -0.214
-4.280 -3.270 0.682
-3.022 -0.331 0.768
-6.741 -3.037 2.895
-2.919 -1.994 -0.243
-6.310 -3.098 0.995



# 4
GaCoAsO | OQMD via LeMat-Bulk | PBE with a Hubbard U | relaxed; E above lowest polymorph = 0.142 eV per atom; space-group type = P4/nmm (129); total magnetic moment = 5.8 μB per cell
1.0
3.994 0.000 0.000
0.000 3.994 0.000
0.000 0.000 8.962
As Co Ga O
2 2 2 2
Cartesian
2.996 2.996 2.910
0.999 0.999 6.052
2.996 2.996 0.379
0.999 0.999 8.582
2.996 0.999 4.481
0.999 2.996 4.481
2.996 0.999 0.000
0.999 2.996 0.000



# 5
LaGdCo2As2O2 | OQMD via LeMat-Bulk | PBE with a Hubbard U | relaxed; space-group type = P4mm (99); total magnetic moment = 1.3 μB per cell
1.0
-2.829 0.708 -2.764
-2.419 -2.659 1.795
-3.047 5.896 4.628
As Co Gd La O
2 2 1 1 2
Cartesian
-1.115 2.158 1.694
-4.586 2.823 2.496
-2.962 3.348 0.968
-2.757 1.665 3.248
-2.601 5.033 3.951
-3.059 -0.133 0.177
-4.427 6.184 3.194
-4.222 4.500 5.473



# 6
GdCoAsO | OQMD via LeMat-Bulk | PBE with a Hubbard U | relaxed; E above lowest polymorph = 0.300 eV per atom; space-group type = Pmc2_1 (26); total magnetic moment = 3.7 μB per cell
1.0
-0.321 3.284 -2.721
-3.930 -1.018 -0.766
-2.104 4.160 5.269
As Co Gd O
2 2 2 2
Cartesian
-1.584 0.866 1.232
-4.540 2.453 3.495
-3.871 1.031 1.700
-2.930 3.627 4.723
-3.284 1.341 -1.357
-2.473 3.903 1.641
-4.106 2.703 0.385
-3.060 5.327 3.428



# 7
GdCoAsO | OQMD via LeMat-Bulk | PBE with a Hubbard U | relaxed; E above lowest polymorph = 0.268 eV per atom; space-group type = Pmc2_1 (26); total magnetic moment = 6.0 μB per cell
1.0
4.361 0.000 0.000
0.000 6.139 0.000
0.000 0.000 5.889
As Co Gd O
2 2 2 2
Cartesian
0.000 4.681 2.412
0.000 1.459 5.356
2.180 2.332 0.268
2.180 3.807 3.212
0.000 1.457 2.418
0.000 4.682 5.362
2.180 2.045 2.287
2.180 4.094 5.232



# 8
GdCoAsO | OQMD via LeMat-Bulk | PBE with a Hubbard U | relaxed; E above lowest polymorph = 0.000 eV per atom; space-group type = P4/nmm (129); total magnetic moment = 1.2 μB per cell
1.0
3.963 0.000 0.000
0.000 3.963 0.000
0.000 0.000 7.924
As Co Gd O
2 2 2 2
Cartesian
0.000 1.982 2.804
1.982 0.000 5.120
0.000 0.000 3.962
1.982 1.982 3.962
1.982 0.000 1.122
0.000 1.982 6.801
0.000 0.000 0.000
1.982 1.982 0.000



Final energy (eV/atom)
-4.76 -4.97 -4.96 -4.83 -6.52 -6.18 -6.21 -6.48
Volume (Å³/cell)
114 133 128 143 131 124 158 124